Compound: CaEr2Zr3N6
Source: Alexandria via LeMat-Bulk
Functional: PBE
Structure: relaxed

Unit cell a=7.486 b=7.486 c=6.719 alpha=103.76 beta=103.76 gamma=25.66
Fractional positions:
Ca1 0.000 0.000 0.000
Er1 0.334 0.334 0.669
Er2 0.666 0.666 0.331
Zr1 0.000 0.000 0.500
Zr2 0.334 0.334 0.167
Zr3 0.666 0.666 0.833
N1 0.164 0.164 0.590
N2 0.173 0.173 0.077
N3 0.496 0.496 0.267
N4 0.504 0.504 0.733
N5 0.827 0.827 0.923
N6 0.836 0.836 0.410

Computed properties:
Calculated volume in Å³/f.u.: 158.1
DOS at the Fermi energy in states/eV/f.u.: 2.938
ΔE_f (raw) in eV/atom: -1.681
Space group: C2/m, No. 12

Compound: LiBi2Pt2
Source: Alexandria via LeMat-Bulk
Functional: PBE
Structure: relaxed

Unit cell a=4.992 b=4.471 c=10.073 alpha=90.00 beta=104.09 gamma=90.00
Fractional positions:
Li1 0.154 0.250 0.346
Li2 0.846 0.750 0.654
Bi1 0.274 0.250 0.048
Bi2 0.293 0.250 0.666
Bi3 0.707 0.750 0.334
Bi4 0.726 0.750 0.952
Pt1 0.135 0.750 0.192
Pt2 0.294 0.750 0.497
Pt3 0.706 0.250 0.503
Pt4 0.865 0.250 0.808

Computed properties:
Calculated volume in Å³/f.u.: 109.0
Energy above the most stable polymorph in this dataset in eV per atom: 0.000
DOS at the Fermi energy in states/eV/f.u.: 1.868
Calculated formation energy in eV/atom: -0.341
Space group: P2_1/m, No. 11

Compound: HgSe
Source: Alexandria via LeMat-Bulk
Functional: PBE
Structure: relaxed

Unit cell a=3.888 b=3.940 c=6.932 alpha=90.00 beta=90.00 gamma=90.00
Fractional positions:
Hg1 0.250 0.250 0.084
Hg2 0.750 0.750 0.916
Se1 0.250 0.250 0.493
Se2 0.750 0.750 0.507

Computed properties:
Calculated volume in Å³/f.u.: 53.1
DOS at the Fermi energy in states/eV/f.u.: 0.879
ΔE_f (raw) in eV/atom: 0.056
Space group: Pmmn, No. 59

Compound: CoCuPb2
Source: Alexandria via LeMat-Bulk
Functional: PBE
Structure: relaxed

Unit cell a=4.155 b=3.691 c=10.228 alpha=90.00 beta=90.00 gamma=90.00
Fractional positions:
Co1 0.000 0.000 0.000
Co2 0.000 0.500 0.500
Cu1 0.500 0.000 0.144
Cu2 0.500 0.500 0.644
Pb1 0.000 0.000 0.716
Pb2 0.000 0.500 0.216
Pb3 0.500 0.000 0.429
Pb4 0.500 0.500 0.929

Computed properties:
Calculated volume in Å³/f.u.: 78.4
Energy above the most stable polymorph in this dataset in eV per atom: 0.000
DOS at the Fermi energy in states/eV/f.u.: 4.255
Calculated formation energy in eV/atom: 0.305
Space group: Amm2, No. 38

Compound: CuPF2
Source: Alexandria via LeMat-Bulk
Functional: PBE
Structure: relaxed

Unit cell a=2.585 b=2.585 c=26.780 alpha=90.00 beta=90.00 gamma=120.00
Fractional positions:
Cu1 0.000 0.000 0.000
Cu2 0.333 0.667 0.667
Cu3 0.667 0.333 0.333
P1 0.000 0.000 0.500
P2 0.333 0.667 0.167
P3 0.667 0.333 0.833
F1 0.000 0.000 0.438
F2 0.000 0.000 0.562
F3 0.333 0.667 0.105
F4 0.333 0.667 0.228
F5 0.667 0.333 0.772
F6 0.667 0.333 0.895

Computed properties:
Calculated volume in Å³/f.u.: 51.6
Energy above the most stable polymorph in this dataset in eV per atom: 0.000
DOS at the Fermi energy in states/eV/f.u.: 0.419
ΔE_f (raw) in eV/atom: -0.926
Space group: R-3m, No. 166

Compound: Ac2SnS
Source: Alexandria via LeMat-Bulk
Functional: PBE
Structure: relaxed

Unit cell a=7.925 b=7.925 c=7.925 alpha=90.00 beta=90.00 gamma=90.00
Fractional positions:
Ac1 0.250 0.250 0.250
Ac2 0.250 0.250 0.750
Ac3 0.250 0.750 0.250
Ac4 0.250 0.750 0.750
Ac5 0.750 0.250 0.250
Ac6 0.750 0.250 0.750
Ac7 0.750 0.750 0.250
Ac8 0.750 0.750 0.750
Sn1 0.000 0.000 0.000
Sn2 0.000 0.500 0.500
Sn3 0.500 0.000 0.500
Sn4 0.500 0.500 0.000
S1 0.000 0.000 0.500
S2 0.000 0.500 0.000
S3 0.500 0.000 0.000
S4 0.500 0.500 0.500

Computed properties:
Calculated volume in Å³/f.u.: 124.4
Energy above the most stable polymorph in this dataset in eV per atom: 0.273
DOS at the Fermi energy in states/eV/f.u.: 2.285
ΔE_f (raw) in eV/atom: -1.019
Space group: Fm-3m, No. 225

Compound: Na3Pm2DyTe6
Source: Alexandria via LeMat-Bulk
Functional: PBE
Structure: relaxed

Unit cell a=7.777 b=7.777 c=8.005 alpha=99.33 beta=99.33 gamma=120.01
Fractional positions:
Na1 0.000 0.000 0.000
Na2 0.331 0.669 0.000
Na3 0.669 0.331 0.000
Pm1 0.166 0.834 0.500
Pm2 0.834 0.166 0.500
Dy1 0.500 0.500 0.500
Te1 0.094 0.422 0.264
Te2 0.251 0.251 0.736
Te3 0.422 0.094 0.264
Te4 0.578 0.906 0.736
Te5 0.749 0.749 0.264
Te6 0.906 0.578 0.736

Computed properties:
Calculated volume in Å³/f.u.: 396.5
ΔE_f (raw) in eV/atom: -1.325
Space group: C2/m, No. 12

Compound: AlPH
Source: Alexandria via LeMat-Bulk
Functional: PBE
Structure: relaxed

Unit cell a=5.548 b=5.548 c=5.548 alpha=90.00 beta=90.00 gamma=90.00
Fractional positions:
Al1 0.000 0.000 0.000
Al2 0.000 0.500 0.500
Al3 0.500 0.000 0.500
Al4 0.500 0.500 0.000
P1 0.250 0.250 0.750
P2 0.250 0.750 0.250
P3 0.750 0.250 0.250
P4 0.750 0.750 0.750
H1 0.000 0.000 0.500
H2 0.000 0.500 0.000
H3 0.500 0.000 0.000
H4 0.500 0.500 0.500

Computed properties:
Calculated volume in Å³/f.u.: 42.7
Energy above the most stable polymorph in this dataset in eV per atom: 0.471
DOS at the Fermi energy in states/eV/f.u.: 0.620
Space group: F-43m, No. 216